No. 1
The following is a DFT calculation (SCAN) of CdPb5 at its PBEsol-relaxed geometry.

Cell: 3.4418 3.4418 14.4974 Å, 90.00 90.00 90.00°
Closest atoms and distances in Å follow each position.
Fractional coordinates of all 6 atoms:
Pb 0.0000 0.0000 0.8488  4 Cd 3.28, 8 Pb 3.44-3.52
Pb 0.0000 0.0000 0.5000  12 Pb 3.44-3.50
Pb 0.5000 0.5000 0.6732  12 Pb 3.44-3.52
Pb 0.0000 0.0000 0.1512  4 Cd 3.28, 8 Pb 3.44-3.52
Pb 0.5000 0.5000 0.3268  12 Pb 3.44-3.52
Cd 0.5000 0.5000 0.0000  8 Pb 3.28, 4 Cd 3.44

uncorrected energy	-68.198	eV/atom
calculated formation energy	13	kJ/mol of formula units
space-group type	P4/mmm
magnetic moment	0.00	μB per formula unit

***

No. 2
The following is a DFT calculation (SCAN) of CdPb at its PBEsol-relaxed geometry.

Cell: 3.3459 3.3459 10.5657 Å, 90.00 90.00 120.00°
Closest atoms and distances in Å follow each position.
Fractional coordinates of all 4 atoms:
Pb 0.3333 0.6667 0.6447  3 Cd 3.24, 9 Pb 3.35-3.62
Cd 0.3333 0.6667 0.1085  9 Cd 3.00-3.35, 3 Pb 3.24
Pb 0.6667 0.3333 0.3553  3 Cd 3.24, 9 Pb 3.35-3.62
Cd 0.6667 0.3333 0.8915  9 Cd 3.00-3.35, 3 Pb 3.24

uncorrected energy	-53.038	eV/atom
calculated formation energy	12	kJ/mol of formula units
space-group type	P-3m1
magnetic moment	0.00	μB per formula unit

***

No. 3
The following is a DFT calculation (SCAN) of Cd5Pb3 at its PBEsol-relaxed geometry.

Cell: 5.5720 9.2131 9.2131 Å, 120.00 90.00 90.00°
Closest atoms and distances in Å follow each position.
Fractional coordinates of all 16 atoms:
Pb 0.2500 0.0000 0.3936  8 Cd 3.14-3.33, 2 Pb 3.41
Cd 0.0000 0.6667 0.3333  2 Cd 2.79
Pb 0.7500 0.0000 0.6064  8 Cd 3.14-3.33, 2 Pb 3.41
Cd 0.2500 0.0000 0.8050  6 Cd 3.11-3.32, 4 Pb 3.14-3.33
Cd 0.2500 0.1950 0.1950  6 Cd 3.11-3.32, 4 Pb 3.14-3.33
Pb 0.7500 0.3936 0.3936  8 Cd 3.14-3.33, 2 Pb 3.41
Pb 0.2500 0.6064 0.6064  8 Cd 3.14-3.33, 2 Pb 3.41
Pb 0.7500 0.6064 0.0000  8 Cd 3.14-3.33, 2 Pb 3.41
Cd 0.7500 0.1950 0.0000  6 Cd 3.11-3.32, 4 Pb 3.14-3.33
Cd 0.5000 0.6667 0.3333  2 Cd 2.79
Cd 0.2500 0.8050 0.0000  6 Cd 3.11-3.32, 4 Pb 3.14-3.33
Cd 0.7500 0.0000 0.1950  6 Cd 3.11-3.32, 4 Pb 3.14-3.33
Cd 0.7500 0.8050 0.8050  6 Cd 3.11-3.32, 4 Pb 3.14-3.33
Pb 0.2500 0.3936 0.0000  8 Cd 3.14-3.33, 2 Pb 3.41
Cd 0.5000 0.3333 0.6667  2 Cd 2.79
Cd 0.0000 0.3333 0.6667  2 Cd 2.79

uncorrected energy	-47.320	eV/atom
calculated formation energy	82	kJ/mol of formula units
space-group type	P6_3/mcm
magnetic moment	0.00	μB per formula unit
relative energy among the computed polymorphs	3.1	kJ/mol of atoms

***

No. 4
The following is a DFT calculation (SCAN) of Cd5Pb at its PBEsol-relaxed geometry.

Cell: 4.4970 4.4781 7.1009 Å, 71.62 90.00 90.00°
Closest atoms and distances in Å follow each position.
Fractional coordinates of all 6 atoms:
Cd 0.5000 0.3276 0.3447  10 Cd 3.06-3.23, 2 Pb 3.23
Cd 0.5000 0.0000 0.0000  4 Pb 3.17, 8 Cd 3.23-3.24
Pb 0.0000 0.5000 0.0000  12 Cd 3.17-3.23
Cd 0.0000 0.1732 0.6535  10 Cd 3.05-3.24, 2 Pb 3.23
Cd 0.5000 0.6724 0.6553  10 Cd 3.06-3.23, 2 Pb 3.23
Cd 0.0000 0.8268 0.3465  10 Cd 3.05-3.24, 2 Pb 3.23

uncorrected energy	-37.921	eV/atom
calculated formation energy	31	kJ/mol of formula units
space-group type	Cmmm
magnetic moment	0.00	μB per formula unit
relative energy among the computed polymorphs	0.3	kJ/mol of atoms

***

No. 5
The following is a DFT calculation (SCAN) of Cd2Pb at its PBEsol-relaxed geometry.

Cell: 3.2944 3.2944 7.0428 Å, 103.53 103.53 90.00°
Closest atoms and distances in Å follow each position.
Fractional coordinates of all 3 atoms:
Cd 0.6777 0.6777 0.3554  8 Cd 3.02-3.29, 4 Pb 3.32
Pb 0.0000 0.0000 0.0000  4 Pb 3.29, 8 Cd 3.32
Cd 0.3223 0.3223 0.6446  8 Cd 3.02-3.29, 4 Pb 3.32

uncorrected energy	-45.469	eV/atom
calculated formation energy	19	kJ/mol of formula units
space-group type	I4/mmm
magnetic moment	0.00	μB per formula unit

***

No. 6
The following is a DFT calculation (SCAN) of Cd5Pb at its PBEsol-relaxed geometry.

Cell: 3.0406 5.3594 8.5138 Å, 90.00 100.29 90.00°
Closest atoms and distances in Å follow each position.
Fractional coordinates of all 6 atoms:
Cd 0.6693 0.0000 0.3385  8 Cd 3.04-3.35, 4 Pb 3.22
Pb 0.1137 0.5000 0.2274  2 Pb 3.04, 10 Cd 3.22-3.38
Cd 0.7883 0.5000 0.5766  10 Cd 2.99-3.34, 2 Pb 3.30
Cd 0.9911 0.0000 0.9822  10 Cd 3.04-3.35, 2 Pb 3.38
Cd 0.4422 0.5000 0.8844  10 Cd 2.99-3.29, 2 Pb 3.25
Cd 0.3288 0.0000 0.6575  12 Cd 3.04-3.29

uncorrected energy	-37.905	eV/atom
calculated formation energy	41	kJ/mol of formula units
space-group type	Amm2
magnetic moment	0.00	μB per formula unit
relative energy among the computed polymorphs	1.9	kJ/mol of atoms